Record 1
A plane-wave DFT calculation with PBE was carried out for a relaxed structure of YBi2Pt.

Computed properties:
Total moment in μB/atom: 0.000
Crystal system: cubic
DFT total energy in eV per atom: -5.478
ρ in kg/m3: 11413

a = 7.420 Å, b = 7.420 Å, c = 7.420 Å
α = 90.00°, β = 90.00°, γ = 90.00°
Space group F-43m (No. 216)
Inequivalent atoms, fractional coordinates:
Y 0.000 0.000 0.000 x4
Bi 0.000 0.000 0.500 x4
Bi 0.250 0.250 0.250 x4
Pt 0.250 0.250 0.750 x4

---

Record 2
A plane-wave DFT calculation with PBE was carried out for a relaxed structure of ZnBi2Pt.

Computed properties:
Total moment in μB/atom: 0.001
Crystal system: cubic
DFT total energy in eV per atom: -3.637
ρ in kg/m3: 12073

a = 7.200 Å, b = 7.200 Å, c = 7.200 Å
α = 90.00°, β = 90.00°, γ = 90.00°
Space group F-43m (No. 216)
Inequivalent atoms, fractional coordinates:
Zn 0.000 0.000 0.000 x4
Bi 0.000 0.000 0.500 x4
Bi 0.250 0.250 0.250 x4
Pt 0.250 0.250 0.750 x4

---

Record 3
A plane-wave DFT calculation with PBE was carried out for a relaxed structure of Zn2BiPt.

Computed properties:
Total moment in μB/atom: 0.000
Crystal system: cubic
DFT total energy in eV per atom: -3.083
ρ in kg/m3: 11623

a = 6.736 Å, b = 6.736 Å, c = 6.736 Å
α = 90.00°, β = 90.00°, γ = 90.00°
Space group F-43m (No. 216)
Inequivalent atoms, fractional coordinates:
Zn 0.000 0.000 0.000 x4
Zn 0.250 0.250 0.250 x4
Bi 0.000 0.000 0.500 x4
Pt 0.250 0.250 0.750 x4

---

Record 4
A plane-wave DFT calculation with PBE was carried out for a relaxed structure of ZnBiPt.

Computed properties:
Total moment in μB/atom: 0.000
Crystal system: cubic
DFT total energy in eV per atom: -3.626
ρ in kg/m3: 11076

a = 6.554 Å, b = 6.554 Å, c = 6.554 Å
α = 90.00°, β = 90.00°, γ = 90.00°
Space group F-43m (No. 216)
Inequivalent atoms, fractional coordinates:
Zn 0.000 0.000 0.000 x4
Bi 0.250 0.250 0.750 x4
Pt 0.000 0.000 0.500 x4

---

Record 5
A plane-wave DFT calculation with PBE was carried out for a relaxed structure of ZrBiPt2.

Computed properties:
Total moment in μB/atom: 0.000
Crystal system: cubic
DFT total energy in eV per atom: -6.536
ρ in kg/m3: 14756

a = 6.773 Å, b = 6.773 Å, c = 6.773 Å
α = 90.00°, β = 90.00°, γ = 90.00°
Space group F-43m (No. 216)
Inequivalent atoms, fractional coordinates:
Zr 0.000 0.000 0.000 x4
Bi 0.250 0.250 0.750 x4
Pt 0.000 0.000 0.500 x4
Pt 0.250 0.250 0.250 x4

---

Record 6
A plane-wave DFT calculation with PBE was carried out for a relaxed structure of PuBiSb.

Computed properties:
Total moment in μB/atom: 1.872
Crystal system: orthorhombic
DFT total energy in eV per atom: -7.932
ρ in kg/m3: 11331

a = 4.547 Å, b = 16.322 Å, c = 4.540 Å
α = 90.00°, β = 90.00°, γ = 90.00°
Space group Cmcm (No. 63)
Inequivalent atoms, fractional coordinates:
Pu 0.000 0.092 0.250 x4
Bi 0.000 0.252 0.750 x4
Sb 0.000 0.434 0.250 x4

---

Record 7
A plane-wave DFT calculation with PBE was carried out for a relaxed structure of PuBiSb.

Computed properties:
Total moment in μB/atom: 1.820
Crystal system: cubic
DFT total energy in eV per atom: -7.606
ρ in kg/m3: 9495

a = 7.381 Å, b = 7.381 Å, c = 7.381 Å
α = 90.00°, β = 90.00°, γ = 90.00°
Space group F-43m (No. 216)
Inequivalent atoms, fractional coordinates:
Pu 0.000 0.000 0.000 x4
Bi 0.250 0.250 0.750 x4
Sb 0.250 0.250 0.250 x4

---

Record 8
A plane-wave DFT calculation with PBE was carried out for a relaxed structure of SrPuBi.

Computed properties:
Total moment in μB/atom: 2.320
Crystal system: cubic
DFT total energy in eV per atom: -6.570
ρ in kg/m3: 7738

a = 7.742 Å, b = 7.742 Å, c = 7.742 Å
α = 90.00°, β = 90.00°, γ = 90.00°
Space group F-43m (No. 216)
Inequivalent atoms, fractional coordinates:
Sr 0.000 0.000 0.000 x4
Pu 0.250 0.250 0.750 x4
Bi 0.000 0.000 0.500 x4

---

Record 9
A plane-wave DFT calculation with PBE was carried out for a relaxed structure of PuThBi.

Computed properties:
Total moment in μB/atom: 2.829
Crystal system: cubic
DFT total energy in eV per atom: -8.275
ρ in kg/m3: 12217

a = 7.195 Å, b = 7.195 Å, c = 7.195 Å
α = 90.00°, β = 90.00°, γ = 90.00°
Space group F-43m (No. 216)
Inequivalent atoms, fractional coordinates:
Pu 0.000 0.000 0.000 x4
Th 0.250 0.250 0.250 x4
Bi 0.250 0.250 0.750 x4

---

Record 10
A plane-wave DFT calculation with PBE was carried out for a relaxed structure of TmPuBi.

Computed properties:
Total moment in μB/atom: 2.504
Crystal system: cubic
DFT total energy in eV per atom: -7.425
ρ in kg/m3: 10376

a = 7.357 Å, b = 7.357 Å, c = 7.357 Å
α = 90.00°, β = 90.00°, γ = 90.00°
Space group F-43m (No. 216)
Inequivalent atoms, fractional coordinates:
Tm 0.000 0.000 0.000 x4
Pu 0.250 0.250 0.250 x4
Bi 0.250 0.250 0.750 x4

---

Record 11
A plane-wave DFT calculation with PBE was carried out for a relaxed structure of PuUBi.

Computed properties:
Total moment in μB/atom: 3.537
Crystal system: cubic
DFT total energy in eV per atom: -9.410
ρ in kg/m3: 12274

a = 7.204 Å, b = 7.204 Å, c = 7.204 Å
α = 90.00°, β = 90.00°, γ = 90.00°
Space group F-43m (No. 216)
Inequivalent atoms, fractional coordinates:
Pu 0.000 0.000 0.000 x4
U 0.250 0.250 0.250 x4
Bi 0.250 0.250 0.750 x4

---

Record 12
A plane-wave DFT calculation with PBE was carried out for a relaxed structure of YPuBi.

Computed properties:
Total moment in μB/atom: 2.584
Crystal system: cubic
DFT total energy in eV per atom: -8.111
ρ in kg/m3: 8865

a = 7.405 Å, b = 7.405 Å, c = 7.405 Å
α = 90.00°, β = 90.00°, γ = 90.00°
Space group F-43m (No. 216)
Inequivalent atoms, fractional coordinates:
Y 0.000 0.000 0.000 x4
Pu 0.250 0.250 0.250 x4
Bi 0.250 0.250 0.750 x4